BaMnSi (PBE, relaxed); total moment = 4.007 Bohr magnetons per cell; formation energy without anion corrections = -0.09 eV per formula unit
1.0
4.3568 0.0000 0.0000
-2.1784 3.7731 0.0000
0.0000 0.0000 5.0487
Ba Mn Si
1 1 1
Cartesian
0.0000 0.0000 0.0000 Ba
2.1784 1.2577 2.5243 Mn
0.0000 2.5154 2.5243 Si